[1]
Here is an optimized crystal structure of LaTi3P from the Alexandria database. Energies are from PBE.

Values from the calculation:
Calculated formation energy ... 135.2 kJ per mole of atoms
V ... 21.41 A^3/atom
Crystal system ... cubic
Distance to the lowest polymorph of the same formula ... 154.8 kJ per mole of atoms

The structure in CIF format:
```
data_LaTi3P
_space_group_name_H-M_alt 'P m -3 m'
_space_group_IT_number 221
_space_group_name_Hall '-P 4 2 3'
_cell_length_a 4.7479
_cell_length_b 4.7479
_cell_length_c 4.7479
_cell_angle_alpha 90.00
_cell_angle_beta 90.00
_cell_angle_gamma 90.00
loop_
_atom_site_label
_atom_site_type_symbol
_atom_site_fract_x
_atom_site_fract_y
_atom_site_fract_z
La1 La 0.0000 0.0000 0.0000
Ti1 Ti 0.0000 0.0000 0.5000
P1 P 0.5000 0.5000 0.5000
```

[2]
Here is an optimized crystal structure of LaTiP3 from the Alexandria database. Energies are from PBE.

Values from the calculation:
Calculated formation energy ... -69.6 kJ per mole of atoms
V ... 21.08 A^3/atom
Crystal system ... cubic
Distance to the lowest polymorph of the same formula ... 0.0 kJ per mole of atoms

The structure in CIF format:
```
data_LaTiP3
_space_group_name_H-M_alt 'P m -3 m'
_space_group_IT_number 221
_space_group_name_Hall '-P 4 2 3'
_cell_length_a 4.7238
_cell_length_b 4.7238
_cell_length_c 4.7238
_cell_angle_alpha 90.00
_cell_angle_beta 90.00
_cell_angle_gamma 90.00
loop_
_atom_site_label
_atom_site_type_symbol
_atom_site_fract_x
_atom_site_fract_y
_atom_site_fract_z
La1 La 0.0000 0.0000 0.0000
Ti1 Ti 0.5000 0.5000 0.5000
P1 P 0.0000 0.5000 0.5000
```

[3]
Here is an optimized crystal structure of La2TlP2 from the Alexandria database. Energies are from PBE.

Values from the calculation:
Calculated formation energy ... -102.4 kJ per mole of atoms
V ... 25.69 A^3/atom
Crystal system ... tetragonal
Distance to the lowest polymorph of the same formula ... 0.0 kJ per mole of atoms

The structure in CIF format:
```
data_La2TlP2
_space_group_name_H-M_alt 'P 4/m b m'
_space_group_IT_number 127
_space_group_name_Hall '-P 4 2ab'
_cell_length_a 8.1142
_cell_length_b 8.1142
_cell_length_c 3.9012
_cell_angle_alpha 90.00
_cell_angle_beta 90.00
_cell_angle_gamma 90.00
loop_
_atom_site_label
_atom_site_type_symbol
_atom_site_fract_x
_atom_site_fract_y
_atom_site_fract_z
La1 La 0.1535 0.3465 0.0000
Tl1 Tl 0.0000 0.0000 0.5000
P1 P 0.1506 0.6506 0.5000
```

[4]
Here is an optimized crystal structure of LaTlP2 from the Alexandria database. Energies are from PBE.

Values from the calculation:
Calculated formation energy ... -62.1 kJ per mole of atoms
V ... 27.67 A^3/atom
Crystal system ... monoclinic
Distance to the lowest polymorph of the same formula ... 0.0 kJ per mole of atoms

The structure in CIF format:
```
data_LaTlP2
_space_group_name_H-M_alt 'P 1 2/m 1'
_space_group_IT_number 10
_cell_length_a 3.9844
_cell_length_b 4.1270
_cell_length_c 6.9220
_cell_angle_alpha 90.00
_cell_angle_beta 103.48
_cell_angle_gamma 90.00
loop_
_space_group_symop_operation_xyz
'x,y,z'
'-x,-y,-z'
'-x,y,-z'
'x,-y,z'
loop_
_atom_site_label
_atom_site_type_symbol
_atom_site_fract_x
_atom_site_fract_y
_atom_site_fract_z
La1 La 0.0000 0.0000 0.0000
Tl1 Tl 0.5000 0.0000 0.5000
P1 P 0.4063 0.5000 0.8372
```

[5]
Here is an optimized crystal structure of LaTlP2 from the Alexandria database. Energies are from PBE.

Values from the calculation:
Calculated formation energy ... -46.8 kJ per mole of atoms
V ... 22.60 A^3/atom
Crystal system ... monoclinic
Distance to the lowest polymorph of the same formula ... 15.3 kJ per mole of atoms

The structure in CIF format:
```
data_LaTlP2
_space_group_name_H-M_alt 'C 1 2/m 1'
_space_group_IT_number 12
_cell_length_a 6.8118
_cell_length_b 6.8155
_cell_length_c 3.8948
_cell_angle_alpha 90.00
_cell_angle_beta 90.10
_cell_angle_gamma 90.00
loop_
_space_group_symop_operation_xyz
'x,y,z'
'-x,-y,-z'
'-x,y,-z'
'x,-y,z'
'x+1/2,y+1/2,z'
'-x+1/2,-y+1/2,-z'
'-x+1/2,y+1/2,-z'
'x+1/2,-y+1/2,z'
loop_
_atom_site_label
_atom_site_type_symbol
_atom_site_fract_x
_atom_site_fract_y
_atom_site_fract_z
La1 La 0.0000 0.0000 0.0000
Tl1 Tl 0.0000 0.5000 0.0000
P1 P 0.2500 0.2500 0.5000
```

[6]
Here is an optimized crystal structure of LaTlP2 from the Alexandria database. Energies are from PBE.

Values from the calculation:
Calculated formation energy ... -47.9 kJ per mole of atoms
V ... 26.30 A^3/atom
Crystal system ... tetragonal
Distance to the lowest polymorph of the same formula ... 14.2 kJ per mole of atoms

The structure in CIF format:
```
data_LaTlP2
_space_group_name_H-M_alt 'P 4 m m'
_space_group_IT_number 99
_cell_length_a 4.1933
_cell_length_b 4.1933
_cell_length_c 5.9825
_cell_angle_alpha 90.00
_cell_angle_beta 90.00
_cell_angle_gamma 90.00
loop_
_space_group_symop_operation_xyz
'x,y,z'
'-y,x,z'
'-x,-y,z'
'y,-x,z'
'-x,y,z'
'y,x,z'
'x,-y,z'
'-y,-x,z'
loop_
_atom_site_label
_atom_site_type_symbol
_atom_site_fract_x
_atom_site_fract_y
_atom_site_fract_z
La1 La 0.0000 0.0000 0.0000
Tl1 Tl 0.5000 0.5000 0.5017
P1 P 0.0000 0.0000 0.5004
P2 P 0.5000 0.5000 0.0018
```